Na2UTe4Au2, optimized geometry, DFT PBE; DOS(E_F) = 5.33 states/eV per cell; final energy = -4.244 eV per atom; space group = No. 12; magnetic moment = 1.994 μB per cell
1.0
7.937 -2.184 0.000
7.937 2.184 0.000
-3.583 0.000 7.417
Na U Te Au
2 1 4 2
Direct
0.127 0.127 0.121
0.873 0.873 0.879
0.000 0.000 0.500
0.211 0.211 0.733
0.495 0.495 0.231
0.505 0.505 0.769
0.789 0.789 0.267
0.320 0.320 0.510
0.680 0.680 0.490